A relaxed Cs4NdI5 crystal, computed with GGA-PBE.

Final energy   -28.334 eV per cell
Energy relative to the elements, uncorrected   -1.24 eV per atom
N(E_F)   6.63 states/eV/cell

a b c (Å): 9.236 9.236 9.236
angles (deg): 100.42 100.42 129.66
Fractional coordinates of all 10 atoms:
Cs1 0.088 0.291 0.379
Cs2 0.291 0.912 0.202
Cs3 0.709 0.088 0.798
Cs4 0.912 0.709 0.621
Nd1 0.464 0.464 0.000
I1 0.227 0.579 0.819
I2 0.408 0.227 0.648
I3 0.579 0.760 0.352
I4 0.760 0.408 0.181
I5 0.877 0.877 0.000



A relaxed CsNd4I12 crystal, computed with GGA-PBE.

Final energy   -61.601 eV per cell
Energy relative to the elements, uncorrected   -1.36 eV per atom
N(E_F)   6.81 states/eV/cell

a b c (Å): 10.292 10.292 10.292
angles (deg): 109.47 109.47 109.47
Fractional coordinates of all 17 atoms:
Cs1 0.000 0.000 0.000
Nd1 0.000 0.000 0.500
Nd2 0.000 0.500 0.000
Nd3 0.500 0.000 0.000
Nd4 0.500 0.500 0.500
I1 0.120 0.818 0.302
I2 0.182 0.302 0.484
I3 0.182 0.698 0.880
I4 0.302 0.120 0.818
I5 0.302 0.484 0.182
I6 0.484 0.182 0.302
I7 0.516 0.818 0.698
I8 0.698 0.516 0.818
I9 0.698 0.880 0.182
I10 0.818 0.302 0.120
I11 0.818 0.698 0.516
I12 0.880 0.182 0.698



A relaxed Cs2NdI5 crystal, computed with GGA-PBE.

Final energy   -105.281 eV per cell
Energy relative to the elements, uncorrected   -1.51 eV per atom
N(E_F)   0.00 states/eV/cell

a b c (Å): 15.374 10.246 9.941
angles (deg): 90.00 90.00 90.00
Fractional coordinates of all 32 atoms:
Cs1 0.170 0.011 0.090
Cs2 0.170 0.489 0.090
Cs3 0.330 0.511 0.590
Cs4 0.330 0.989 0.590
Cs5 0.670 0.011 0.410
Cs6 0.670 0.489 0.410
Cs7 0.830 0.511 0.910
Cs8 0.830 0.989 0.910
Nd1 0.006 0.250 0.573
Nd2 0.494 0.750 0.073
Nd3 0.506 0.250 0.927
Nd4 0.994 0.750 0.427
I1 0.015 0.250 0.897
I2 0.057 0.548 0.666
I3 0.057 0.952 0.666
I4 0.185 0.250 0.413
I5 0.195 0.750 0.367
I6 0.305 0.250 0.867
I7 0.315 0.750 0.913
I8 0.443 0.048 0.166
I9 0.443 0.452 0.166
I10 0.485 0.750 0.397
I11 0.515 0.250 0.603
I12 0.557 0.548 0.834
I13 0.557 0.952 0.834
I14 0.685 0.250 0.087
I15 0.695 0.750 0.133
I16 0.805 0.250 0.633
I17 0.815 0.750 0.587
I18 0.943 0.048 0.334
I19 0.943 0.452 0.334
I20 0.985 0.750 0.103



A relaxed CsNd2I6 crystal, computed with GGA-PBE.

Final energy   -32.105 eV per cell
Energy relative to the elements, uncorrected   -1.38 eV per atom
N(E_F)   5.47 states/eV/cell

a b c (Å): 7.904 7.904 9.219
angles (deg): 90.00 90.00 120.00
Fractional coordinates of all 9 atoms:
Cs1 0.000 0.000 0.000
Nd1 0.333 0.667 0.500
Nd2 0.667 0.333 0.500
I1 0.000 0.355 0.704
I2 0.000 0.645 0.296
I3 0.355 0.000 0.704
I4 0.355 0.355 0.296
I5 0.645 0.000 0.296
I6 0.645 0.645 0.704



A relaxed Cs4NdI6 crystal, computed with GGA-PBE.

Final energy   -66.260 eV per cell
Energy relative to the elements, uncorrected   -1.42 eV per atom
N(E_F)   12.99 states/eV/cell

a b c (Å): 10.455 10.455 10.894
angles (deg): 90.00 90.00 90.00
Fractional coordinates of all 22 atoms:
Cs1 0.167 0.333 0.250
Cs2 0.167 0.333 0.750
Cs3 0.333 0.833 0.250
Cs4 0.333 0.833 0.750
Cs5 0.667 0.167 0.250
Cs6 0.667 0.167 0.750
Cs7 0.833 0.667 0.250
Cs8 0.833 0.667 0.750
Nd1 0.000 0.000 0.000
Nd2 0.500 0.500 0.500
I1 0.000 0.000 0.292
I2 0.000 0.000 0.708
I3 0.099 0.703 0.000
I4 0.203 0.599 0.500
I5 0.297 0.099 0.000
I6 0.401 0.203 0.500
I7 0.500 0.500 0.208
I8 0.500 0.500 0.792
I9 0.599 0.797 0.500
I10 0.703 0.901 0.000
I11 0.797 0.401 0.500
I12 0.901 0.297 0.000



A relaxed Cs3Nd2I9 crystal, computed with GGA-PBE.

Final energy   -93.930 eV per cell
Energy relative to the elements, uncorrected   -1.49 eV per atom
N(E_F)   0.00 states/eV/cell

a b c (Å): 8.703 8.703 22.488
angles (deg): 90.00 90.00 120.00
Fractional coordinates of all 28 atoms:
Cs1 0.000 0.000 0.250
Cs2 0.000 0.000 0.750
Cs3 0.333 0.667 0.061
Cs4 0.333 0.667 0.439
Cs5 0.667 0.333 0.561
Cs6 0.667 0.333 0.939
Nd1 0.333 0.667 0.656
Nd2 0.333 0.667 0.844
Nd3 0.667 0.333 0.156
Nd4 0.667 0.333 0.344
I1 0.007 0.504 0.750
I2 0.163 0.325 0.585
I3 0.163 0.325 0.915
I4 0.163 0.837 0.585
I5 0.163 0.837 0.915
I6 0.325 0.163 0.085
I7 0.325 0.163 0.415
I8 0.496 0.504 0.750
I9 0.496 0.993 0.750
I10 0.504 0.007 0.250
I11 0.504 0.496 0.250
I12 0.675 0.837 0.585
I13 0.675 0.837 0.915
I14 0.837 0.163 0.085
I15 0.837 0.163 0.415
I16 0.837 0.675 0.085
I17 0.837 0.675 0.415
I18 0.993 0.496 0.250



A relaxed CsNd2I8 crystal, computed with GGA-PBE.

Final energy   -36.450 eV per cell
Energy relative to the elements, uncorrected   -1.24 eV per atom
Relative energy among the computed polymorphs   41 meV per atom
N(E_F)   13.71 states/eV/cell

a b c (Å): 7.906 7.906 9.874
angles (deg): 100.68 100.68 77.11
Fractional coordinates of all 11 atoms:
Cs1 0.000 0.000 0.000
Nd1 0.318 0.318 0.548
Nd2 0.682 0.682 0.452
I1 0.068 0.697 0.628
I2 0.251 0.251 0.826
I3 0.303 0.932 0.372
I4 0.422 0.422 0.286
I5 0.578 0.578 0.714
I6 0.697 0.068 0.628
I7 0.749 0.749 0.174
I8 0.932 0.303 0.372



A relaxed Cs2NdI6 crystal, computed with GGA-PBE.

Final energy   -26.833 eV per cell
Energy relative to the elements, uncorrected   -1.23 eV per atom
N(E_F)   13.02 states/eV/cell

a b c (Å): 4.984 9.834 9.834
angles (deg): 120.16 90.00 90.00
Fractional coordinates of all 9 atoms:
Cs1 0.000 0.167 0.833
Cs2 0.000 0.833 0.167
Nd1 0.500 0.501 0.501
I1 0.000 0.273 0.500
I2 0.000 0.500 0.273
I3 0.000 0.728 0.728
I4 0.500 0.156 0.156
I5 0.500 0.500 0.844
I6 0.500 0.844 0.500



A relaxed CsNd2I8 crystal, computed with GGA-PBE.

Final energy   -36.899 eV per cell
Energy relative to the elements, uncorrected   -1.28 eV per atom
Relative energy among the computed polymorphs   0 meV per atom
N(E_F)   1.88 states/eV/cell

a b c (Å): 9.313 9.313 6.288
angles (deg): 90.10 90.10 115.76
Fractional coordinates of all 11 atoms:
Cs1 0.000 0.000 0.000
Nd1 0.305 0.695 0.500
Nd2 0.695 0.305 0.500
I1 0.055 0.326 0.502
I2 0.262 0.738 0.000
I3 0.326 0.055 0.502
I4 0.499 0.499 0.249
I5 0.501 0.501 0.751
I6 0.674 0.945 0.498
I7 0.738 0.262 0.000
I8 0.945 0.674 0.498



A relaxed Cs3NdI6 crystal, computed with GGA-PBE.

Final energy   -63.718 eV per cell
Energy relative to the elements, uncorrected   -1.52 eV per atom
N(E_F)   0.00 states/eV/cell

a b c (Å): 9.099 9.733 15.538
angles (deg): 90.00 123.87 90.00
Fractional coordinates of all 20 atoms:
Cs1 0.000 0.000 0.000
Cs2 0.000 0.500 0.500
Cs3 0.209 0.078 0.742
Cs4 0.209 0.422 0.242
Cs5 0.791 0.578 0.758
Cs6 0.791 0.922 0.258
Nd1 0.500 0.000 0.500
Nd2 0.500 0.500 0.000
I1 0.170 0.175 0.448
I2 0.170 0.325 0.948
I3 0.264 0.732 0.425
I4 0.264 0.768 0.925
I5 0.405 0.054 0.276
I6 0.405 0.446 0.776
I7 0.595 0.554 0.224
I8 0.595 0.946 0.724
I9 0.736 0.232 0.075
I10 0.736 0.268 0.575
I11 0.830 0.675 0.052
I12 0.830 0.825 0.552



A relaxed Cs6Nd3I14 crystal, computed with GGA-PBE.

Final energy   -73.849 eV per cell
Energy relative to the elements, uncorrected   -1.42 eV per atom
N(E_F)   10.33 states/eV/cell

a b c (Å): 14.075 14.075 7.642
angles (deg): 90.00 90.00 120.00
Fractional coordinates of all 23 atoms:
Cs1 0.025 0.564 0.000
Cs2 0.306 0.099 0.516
Cs3 0.436 0.461 0.000
Cs4 0.539 0.975 0.000
Cs5 0.793 0.694 0.516
Cs6 0.901 0.207 0.516
Nd1 0.000 0.000 0.932
Nd2 0.333 0.667 0.420
Nd3 0.667 0.333 0.269
I1 0.000 0.000 0.329
I2 0.076 0.848 0.794
I3 0.152 0.228 0.794
I4 0.184 0.437 0.286
I5 0.253 0.816 0.286
I6 0.333 0.667 0.816
I7 0.452 0.195 0.041
I8 0.527 0.408 0.494
I9 0.563 0.747 0.286
I10 0.592 0.118 0.494
I11 0.743 0.548 0.041
I12 0.772 0.924 0.794
I13 0.805 0.257 0.041
I14 0.882 0.473 0.494



A relaxed CsNd2I7 crystal, computed with GGA-PBE.

Final energy   -35.378 eV per cell
Energy relative to the elements, uncorrected   -1.41 eV per atom
N(E_F)   0.00 states/eV/cell

a b c (Å): 9.480 9.480 6.241
angles (deg): 90.00 90.00 116.37
Fractional coordinates of all 10 atoms:
Cs1 0.000 0.000 0.000
Nd1 0.302 0.698 0.500
Nd2 0.698 0.302 0.500
I1 0.049 0.327 0.500
I2 0.295 0.705 0.000
I3 0.327 0.049 0.500
I4 0.500 0.500 0.500
I5 0.673 0.951 0.500
I6 0.705 0.295 0.000
I7 0.951 0.673 0.500



A relaxed CsNdNiI6 crystal, computed with GGA-PBE.

Final energy   -29.337 eV per cell
Energy relative to the elements, uncorrected   -0.96 eV per atom

a b c (Å): 7.754 7.754 8.590
angles (deg): 90.07 90.07 120.15
Fractional coordinates of all 9 atoms:
Cs1 0.000 0.000 0.000
Nd1 0.667 0.333 0.500
Ni1 0.334 0.666 0.500
I1 0.033 0.387 0.307
I2 0.034 0.644 0.694
I3 0.356 0.388 0.694
I4 0.356 0.966 0.306
I5 0.612 0.644 0.306
I6 0.613 0.967 0.693



A relaxed CsNdI2O8 crystal, computed with GGA-PBE.

Final energy   -60.945 eV per cell
Energy relative to the elements, uncorrected   -1.05 eV per atom
N(E_F)   2.42 states/eV/cell

a b c (Å): 6.320 6.320 8.729
angles (deg): 90.00 90.00 120.00
Fractional coordinates of all 12 atoms:
Cs1 0.000 0.000 0.000
Nd1 0.000 0.000 0.500
I1 0.333 0.667 0.707
I2 0.667 0.333 0.293
O1 0.105 0.330 0.669
O2 0.226 0.895 0.669
O3 0.330 0.226 0.331
O4 0.333 0.667 0.912
O5 0.667 0.333 0.088
O6 0.670 0.774 0.669
O7 0.774 0.105 0.331
O8 0.895 0.670 0.331



A relaxed Cs2NdPbI6 crystal, computed with GGA-PBE.

Final energy   -62.103 eV per cell
Energy relative to the elements, uncorrected   -1.16 eV per atom
N(E_F)   5.27 states/eV/cell

a b c (Å): 8.717 12.594 9.943
angles (deg): 90.00 90.00 90.00
Fractional coordinates of all 20 atoms:
Cs1 0.250 0.027 0.197
Cs2 0.250 0.473 0.197
Cs3 0.750 0.527 0.803
Cs4 0.750 0.973 0.803
Nd1 0.250 0.750 0.770
Nd2 0.750 0.250 0.230
Pb1 0.250 0.250 0.720
Pb2 0.750 0.750 0.280
I1 0.003 0.750 0.002
I2 0.012 0.250 0.441
I3 0.250 0.502 0.781
I4 0.250 0.998 0.781
I5 0.488 0.250 0.441
I6 0.497 0.750 0.002
I7 0.503 0.250 0.998
I8 0.512 0.750 0.559
I9 0.750 0.002 0.219
I10 0.750 0.498 0.219
I11 0.988 0.750 0.559
I12 0.997 0.250 0.998



A relaxed Cs2NdPdI6 crystal, computed with GGA-PBE.

Final energy   -64.963 eV per cell
Energy relative to the elements, uncorrected   -1.15 eV per atom
N(E_F)   11.11 states/eV/cell

a b c (Å): 14.919 14.919 14.919
angles (deg): 33.37 33.37 33.37
Fractional coordinates of all 20 atoms:
Cs1 0.121 0.121 0.121
Cs2 0.296 0.296 0.296
Cs3 0.704 0.704 0.704
Cs4 0.879 0.879 0.879
Nd1 0.418 0.418 0.418
Nd2 0.582 0.582 0.582
Pd1 0.000 0.000 0.000
Pd2 0.500 0.500 0.500
I1 0.125 0.629 0.629
I2 0.203 0.203 0.717
I3 0.203 0.717 0.203
I4 0.283 0.797 0.797
I5 0.371 0.371 0.875
I6 0.371 0.875 0.371
I7 0.629 0.125 0.629
I8 0.629 0.629 0.125
I9 0.717 0.203 0.203
I10 0.797 0.283 0.797
I11 0.797 0.797 0.283
I12 0.875 0.371 0.371



A relaxed CsNdPuI6 crystal, computed with GGA-PBE.

Final energy   -80.923 eV per cell
Energy relative to the elements, uncorrected   -1.25 eV per atom
N(E_F)   35.82 states/eV/cell

a b c (Å): 11.610 11.610 11.610
angles (deg): 121.33 119.55 89.25
Fractional coordinates of all 18 atoms:
Cs1 0.314 0.064 0.250
Cs2 0.686 0.936 0.750
Nd1 0.000 0.500 0.500
Nd2 0.500 0.500 0.000
Pu1 0.000 0.000 0.500
Pu2 0.000 0.500 0.000
I1 0.076 0.420 0.250
I2 0.076 0.827 0.656
I3 0.084 0.834 0.250
I4 0.320 0.570 0.750
I5 0.329 0.173 0.750
I6 0.329 0.580 0.156
I7 0.671 0.420 0.844
I8 0.671 0.827 0.250
I9 0.680 0.430 0.250
I10 0.916 0.166 0.750
I11 0.924 0.173 0.344
I12 0.924 0.580 0.750